1.
La3NbPd, optimized geometry, DFT GGA-PBEsol; total magnetic moment = 0.00 μB/f.u.; VASP energy = -6.0933 eV per atom
1.0
5.426 0.000 0.000
0.000 5.426 0.000
0.000 0.000 5.426
La Nb Pd
3 1 1
Cartesian
0.000 0.000 2.713
0.000 2.713 0.000
2.713 0.000 0.000
0.000 0.000 0.000
2.713 2.713 2.713

2.
LaNbPdRu2, optimized geometry, DFT GGA-PBEsol; total magnetic moment = 0.20 μB/f.u.; VASP energy = -6.9026 eV per atom
1.0
4.782 0.000 0.000
0.000 4.782 0.000
0.000 0.000 4.974
La Nb Pd Ru
1 1 1 2
Cartesian
0.000 0.000 0.000
2.391 2.391 0.000
0.000 0.000 2.487
0.000 2.391 2.487
2.391 0.000 2.487

> Number 2 is which compound?

LaNbPdRu2

> VASP energy of number 1 (La3NbPd)?

-6.0933 eV per atom

> Number 1 is which compound?

La3NbPd